This record from OQMD describes Zn4Ge3 after structural relaxation. The functional is PBE-GGA.

Summary:
Energy above the most stable polymorph in this dataset, meV per atom: 1
Total energy, eV per atom: -2.509

```
Zn4Ge3
1.0
-1.3497 -8.1016 -1.5897
5.3189 2.2451 6.0542
-3.0364 -0.0190 2.6746
Zn Ge
8 6
direct
0.3958 0.5018 0.7500 Zn
0.3333 0.6667 0.2500 Zn
0.8940 0.3958 0.2500 Zn
0.6042 0.4982 0.2500 Zn
0.5018 0.1060 0.2500 Zn
0.4982 0.8940 0.7500 Zn
0.6667 0.3333 0.7500 Zn
0.1060 0.6042 0.7500 Zn
0.7210 0.8765 0.2500 Ge
0.1555 0.2790 0.2500 Ge
0.2790 0.1235 0.7500 Ge
0.8765 0.1555 0.7500 Ge
0.8445 0.7210 0.7500 Ge
0.1235 0.8445 0.2500 Ge
```